# 1
SrSmTlCd: optimized geometry, PBE.

abc: 5.5846 5.5846 5.5846
angles: 60.00 60.00 60.00
Sites, in units of the cell vectors:
Sr: 0.7500 0.7500 0.7500
Tl: 0.5000 0.5000 0.5000
Sm: 0.2500 0.2500 0.2500
Cd: 0.0000 0.0000 0.0000

Summary:
calculated formation energy: -0.341 eV per atom
offset from the most stable computed form: 21 meV/atom
space-group type: F-43m

# 2
Ac3La6Pm2: optimized geometry, PBE.

abc: 3.8504 16.9678 7.0837
angles: 77.18 105.77 90.00
Sites, in units of the cell vectors:
Ac: 0.2917 0.4038 0.5834
Ac: 0.7083 0.5962 0.4166
Ac: 0.0000 0.5000 0.0000
La: 0.9856 0.2655 0.9712
La: 0.5888 0.8938 0.1776
La: 0.7046 0.2454 0.4093
La: 0.0144 0.7345 0.0288
La: 0.4112 0.1062 0.8224
La: 0.2954 0.7546 0.5907
Pm: 0.8467 0.9337 0.6934
Pm: 0.1533 0.0663 0.3066

Summary:
calculated formation energy: 0.088 eV per atom
space-group type: C2/m

| no. | total magnetization (μB per atom) |
| --- | --- |
| 1 | 0.000 |
| 2 | 0.000 |